Ba3NiO4 (PBE+U, relaxed); E_tot = -44.98 eV per formula unit; mass density = 5.78 Mg/m³
1.0
3.977 2.296 5.609
-3.977 2.296 5.609
0.000 -4.592 5.609
Ba Ni O
6 2 8
Cartesian
-2.328 0.560 7.011
-1.649 -1.736 9.815
0.679 -2.296 7.011
-0.679 2.296 9.815
1.649 1.736 7.011
2.328 -0.560 9.815
0.000 0.000 4.206
0.000 0.000 12.619
0.000 0.000 0.000
-1.860 0.000 4.206
0.930 -1.611 4.206
0.930 1.611 4.206
0.000 0.000 8.413
-0.930 -1.611 12.619
-0.930 1.611 12.619
1.860 0.000 12.619